This record from Alexandria describes RbCoO after structural relaxation. The functional is PBE+U.

a b c (Å): 3.5917 8.9462 6.6499
angles (deg): 42.78 74.33 78.42
Closest atoms and distances in Å follow each position.
Fractional coordinates of all 6 atoms:
O  0.6148  0.7506  0.0198  2 Co 1.80
O  0.3852  0.2494  0.9802  2 Co 1.80
Co  0.1141  0.7513  0.0206  2 O 1.80
Co  0.8859  0.2487  0.9794  2 O 1.80
Rb  0.3780  0.7496  0.4945  3 O 3.03-3.04, 1 Co 3.38
Rb  0.6220  0.2504  0.5055  3 O 3.03-3.04, 1 Co 3.38

Output
Theoretical density: 3.81 g/cm3
SG: C2/m (12)
Energy: -26.6 eV for the cell shown